Record 1
{
  "formula": "Sm4RuPt",
  "functional": "PBE",
  "state": "relaxed",
  "total_energy_ev_per_atom": -6.2448,
  "cell": [[4.537, -6.701, 0.000], [4.537, 6.701, 0.000], [-3.601, 0.000, 5.335]],
  "species": ["Sm", "Sm", "Sm", "Sm", "Sm", "Sm", "Sm", "Sm", "Ru", "Ru", "Pt", "Pt"],
  "fractional_positions": [[0.049, 0.695, 0.901], [0.234, 0.362, 0.723], [0.305, 0.951, 0.599], [0.362, 0.234, 0.223], [0.638, 0.766, 0.777], [0.695, 0.049, 0.401], [0.766, 0.638, 0.277], [0.951, 0.305, 0.099], [0.004, 0.996, 0.250], [0.996, 0.004, 0.750], [0.364, 0.636, 0.250], [0.636, 0.364, 0.750]]
}

Record 2
{
  "formula": "TbSmRuPt",
  "functional": "PBE",
  "state": "relaxed",
  "total_energy_ev_per_atom": -6.8598,
  "e_above_lowest_polymorph_mev_per_atom": 44,
  "cell": [[0.000, 3.489, 3.489], [3.489, 0.000, 3.489], [3.489, 3.489, 0.000]],
  "species": ["Tb", "Sm", "Ru", "Pt"],
  "fractional_positions": [[0.000, 0.000, 0.000], [0.500, 0.500, 0.500], [0.250, 0.250, 0.250], [0.750, 0.750, 0.750]]
}

Record 3
{
  "formula": "TbSmRuPt",
  "functional": "PBE",
  "state": "relaxed",
  "total_energy_ev_per_atom": -6.9040,
  "e_above_lowest_polymorph_mev_per_atom": 0,
  "cell": [[3.491, 0.000, 0.000], [0.000, 3.491, 0.000], [0.000, 0.000, 6.977]],
  "species": ["Tb", "Sm", "Ru", "Pt"],
  "fractional_positions": [[0.000, 0.000, 0.000], [0.000, 0.000, 0.511], [0.500, 0.500, 0.760], [0.500, 0.500, 0.246]]
}

Record 4
{
  "formula": "SmYRuPt",
  "functional": "PBE",
  "state": "relaxed",
  "total_energy_ev_per_atom": -7.3612,
  "e_above_lowest_polymorph_mev_per_atom": 0,
  "cell": [[3.498, 0.000, 0.000], [0.000, 3.498, 0.000], [0.000, 0.000, 6.930]],
  "species": ["Sm", "Y", "Ru", "Pt"],
  "fractional_positions": [[0.000, 0.000, 0.000], [0.000, 0.000, 0.490], [0.500, 0.500, 0.248], [0.500, 0.500, 0.738]]
}

Record 5
{
  "formula": "SmYRuPt",
  "functional": "PBE",
  "state": "relaxed",
  "total_energy_ev_per_atom": -7.3182,
  "e_above_lowest_polymorph_mev_per_atom": 43,
  "cell": [[0.000, 3.486, 3.486], [3.486, 0.000, 3.486], [3.486, 3.486, 0.000]],
  "species": ["Sm", "Y", "Ru", "Pt"],
  "fractional_positions": [[0.000, 0.000, 0.000], [0.500, 0.500, 0.500], [0.750, 0.750, 0.750], [0.250, 0.250, 0.250]]
}

Record 6
{
  "formula": "Sn2RuPt",
  "functional": "PBE",
  "state": "relaxed",
  "total_energy_ev_per_atom": -5.8581,
  "e_above_lowest_polymorph_mev_per_atom": 0,
  "cell": [[0.000, 3.309, 3.309], [3.309, 0.000, 3.309], [3.309, 3.309, 0.000]],
  "species": ["Sn", "Sn", "Ru", "Pt"],
  "fractional_positions": [[0.250, 0.250, 0.250], [0.750, 0.750, 0.750], [0.000, 0.000, 0.000], [0.500, 0.500, 0.500]]
}

Record 7
{
  "formula": "Sn2RuPt",
  "functional": "PBE",
  "state": "relaxed",
  "total_energy_ev_per_atom": -5.4969,
  "e_above_lowest_polymorph_mev_per_atom": 361,
  "cell": [[-3.007, 3.007, 5.942], [3.007, -3.007, 5.942], [3.007, 3.007, -5.942]],
  "species": ["Sn", "Sn", "Sn", "Sn", "Ru", "Ru", "Pt", "Pt"],
  "fractional_positions": [[0.117, 0.625, 0.992], [0.375, 0.367, 0.492], [0.633, 0.125, 0.008], [0.875, 0.883, 0.508], [0.000, 0.000, 0.000], [0.750, 0.250, 0.500], [0.250, 0.750, 0.500], [0.500, 0.500, 0.000]]
}

Record 8
{
  "formula": "SnRu2Pt",
  "functional": "PBE",
  "state": "relaxed",
  "total_energy_ev_per_atom": -6.7970,
  "cell": [[-1.952, 1.952, 9.470], [1.952, -1.952, 9.470], [1.952, 1.952, -9.470]],
  "species": ["Sn", "Sn", "Ru", "Ru", "Ru", "Ru", "Pt", "Pt"],
  "fractional_positions": [[0.000, 0.000, 0.000], [0.750, 0.250, 0.500], [0.190, 0.625, 0.065], [0.375, 0.440, 0.565], [0.560, 0.125, 0.935], [0.875, 0.810, 0.435], [0.250, 0.750, 0.500], [0.500, 0.500, 0.000]]
}

Record 9
{
  "formula": "TmSnRuPt",
  "functional": "PBE",
  "state": "relaxed",
  "total_energy_ev_per_atom": -6.5645,
  "cell": [[0.000, 3.325, 3.325], [3.325, 0.000, 3.325], [3.325, 3.325, 0.000]],
  "species": ["Tm", "Sn", "Ru", "Pt"],
  "fractional_positions": [[0.000, 0.000, 0.000], [0.500, 0.500, 0.500], [0.250, 0.250, 0.250], [0.750, 0.750, 0.750]]
}

Record 10
{
  "formula": "ZrSnRuPt",
  "functional": "PBE",
  "state": "relaxed",
  "total_energy_ev_per_atom": -7.5980,
  "cell": [[-2.136, 2.136, 3.869], [2.136, -2.136, 3.869], [2.136, 2.136, -3.869]],
  "species": ["Zr", "Sn", "Ru", "Pt"],
  "fractional_positions": [[0.000, 0.000, 0.000], [0.500, 0.500, 0.000], [0.250, 0.750, 0.500], [0.750, 0.250, 0.500]]
}

Record 11
{
  "formula": "SrRuPt2",
  "functional": "PBE",
  "state": "relaxed",
  "total_energy_ev_per_atom": -5.7288,
  "e_above_lowest_polymorph_mev_per_atom": 45,
  "cell": [[2.996, -4.135, 0.000], [2.996, 4.135, 0.000], [0.000, 0.000, 2.902]],
  "species": ["Sr", "Ru", "Pt", "Pt"],
  "fractional_positions": [[0.000, 0.000, 0.000], [0.500, 0.500, 0.000], [0.000, 0.500, 0.500], [0.500, 0.000, 0.500]]
}

Record 12
{
  "formula": "SrRuPt4",
  "functional": "PBE",
  "state": "relaxed",
  "total_energy_ev_per_atom": -5.9403,
  "cell": [[0.000, 3.818, 3.818], [3.818, 0.000, 3.818], [3.818, 3.818, 0.000]],
  "species": ["Sr", "Ru", "Pt", "Pt", "Pt", "Pt"],
  "fractional_positions": [[0.000, 0.000, 0.000], [0.250, 0.250, 0.250], [0.126, 0.625, 0.625], [0.625, 0.126, 0.625], [0.625, 0.625, 0.126], [0.625, 0.625, 0.625]]
}

no.,V (Å³ per atom),formation energy (eV/atom)
1,27.0,-0.546
2,21.2,-0.693
3,21.3,-0.737
4,21.2,-0.736
5,21.2,-0.693
6,18.1,-0.028
7,26.9,0.334
8,18.0,0.352
9,18.4,-0.617
10,17.6,-0.631
11,18.0,0.031
12,18.6,-0.087